Entry 1:
## ZrScZnSn (PBE)

Data for crystalline ZrScZnSn at its relaxed geometry.

Values from the calculation:
space group	No. 216

Cell and atoms, written as POSCAR:
```
ZrScZnSn
1.0
-3.308 -3.096 -1.864
0.827 -4.827 0.112
-2.625 -2.866 2.982
Zn Sn Sc Zr
1 1 1 1
direct
0.500 0.500 0.500
0.000 0.000 0.000
0.250 0.250 0.250
0.750 0.750 0.750
```

---

Entry 2:
## ZnIn6Hg5 (PBE)

Data for crystalline ZnIn6Hg5 at its relaxed geometry.

Values from the calculation:
space group	No. 2

Cell and atoms, written as POSCAR:
```
ZnIn6Hg5
1.0
-0.642 1.362 -5.710
6.122 -4.571 -0.715
-7.238 -3.748 2.482
Hg Zn In
5 1 6
direct
0.481 0.182 0.803
0.519 0.818 0.197
0.500 0.500 0.500
0.017 0.662 0.358
0.983 0.338 0.642
0.000 0.000 0.000
0.786 0.932 0.618
0.787 0.609 0.935
0.716 0.225 0.209
0.213 0.391 0.065
0.214 0.068 0.382
0.284 0.775 0.791
```

---

Entry 3:
## TlCdBi2O (PBE)

Data for crystalline TlCdBi2O at its relaxed geometry.

Values from the calculation:
formation energy from raw total energies	1.12	eV/atom
space group	No. 123

Cell and atoms, written as POSCAR:
```
TlCdBi2O
1.0
-5.395 -0.689 -2.176
1.979 -2.981 -3.963
-0.703 -4.810 3.268
Bi Cd O Tl
2 1 1 1
direct
0.000 0.000 0.500
0.500 0.000 0.000
0.000 0.500 0.000
0.500 0.500 0.500
0.000 0.000 0.000
```

---

Entry 4:
## NaCoPAu (PBE)

Data for crystalline NaCoPAu at its relaxed geometry.

Values from the calculation:
space group	No. 129

Cell and atoms, written as POSCAR:
```
NaCoPAu
1.0
3.788 0.000 0.000
0.000 3.788 0.000
0.000 0.000 10.321
Co P Au Na
2 2 2 2
direct
0.250 0.750 0.000
0.750 0.250 0.000
0.250 0.250 0.111
0.750 0.750 0.889
0.250 0.750 0.500
0.750 0.250 0.500
0.250 0.250 0.743
0.750 0.750 0.257
```

---

Entry 5:
## LiYZn2Au4 (PBE)

Data for crystalline LiYZn2Au4 at its relaxed geometry.

Values from the calculation:
space group	No. 166

Cell and atoms, written as POSCAR:
```
LiYZn2Au4
1.0
-2.581 -2.980 -2.221
-1.444 -3.744 2.091
-8.051 1.727 2.428
Au Li Zn Y
4 1 2 1
direct
0.394 0.394 0.817
0.129 0.129 0.612
0.606 0.606 0.183
0.871 0.871 0.388
0.500 0.500 0.500
0.756 0.756 0.731
0.244 0.244 0.269
0.000 0.000 0.000
```

---

Entry 6:
## CeTc4C (PBE)

Data for crystalline CeTc4C at its relaxed geometry.

Values from the calculation:
space group	No. 51

Cell and atoms, written as POSCAR:
```
CeTc4C
1.0
-1.608 -2.192 -3.551
-3.964 -2.546 3.367
-4.427 5.254 -1.239
Tc C Ce
8 2 2
direct
0.500 0.750 0.980
0.000 0.000 0.000
0.500 0.250 0.020
0.500 0.530 0.308
0.500 0.030 0.692
0.000 0.500 0.000
0.500 0.470 0.692
0.500 0.970 0.308
0.000 0.750 0.243
0.000 0.250 0.757
0.000 0.250 0.373
0.000 0.750 0.627
```

---

Let's list total DFT energy (no corrections) in order: -5.37, -1.57, -2.08, -4.69, -3.53, -9.06 eV/atom.
Let's list D(E_F) in order: 3.9, 4.0, 9.6, 1.9, 2.8, 6.9 states/eV/f.u..
Let's list size of the total moment in order: 0.00, 0.00, 0.00, 0.57, 0.00, 0.00 Bohr magnetons per cell.